This record from the Alexandria database describes a relaxed AcPrSm crystal. The functional is PBE-GGA.

Lattice parameters (Å, degrees): 3.798 3.798 9.186 90.00 90.00 120.00
Positions (direct):
Ac 0.000 0.000 0.000
Pr 0.667 0.333 0.344
Sm 0.333 0.667 0.664

Output
Electronic total energy ... -4.498 eV/atom
Space group ... P3m1 (156)
ΔH_f (0 K) ... 0.038 eV/atom

---

This record from the Alexandria database describes a relaxed ZnGaSeN2 crystal. The functional is PBE-GGA.

Lattice parameters (Å, degrees): 3.829 3.829 5.798 90.00 90.00 90.00
Positions (direct):
Zn 0.000 0.000 0.000
Ga 0.500 0.500 0.500
Se 0.500 0.500 0.000
N 0.000 0.500 0.500
N 0.500 0.000 0.500

Output
Electronic total energy ... -3.819 eV/atom
Space group ... P4/mmm (123)

---

This record from the Alexandria database describes a relaxed Pr6TmCd crystal. The functional is PBE-GGA.

Lattice parameters (Å, degrees): 5.070 5.070 10.315 90.00 90.00 90.00
Positions (direct):
Pr 0.000 0.000 0.000
Pr 0.000 0.000 0.500
Pr 0.000 0.500 0.246
Pr 0.000 0.500 0.754
Pr 0.500 0.000 0.246
Pr 0.500 0.000 0.754
Tm 0.500 0.500 0.500
Cd 0.500 0.500 0.000

Output
Electronic total energy ... -4.305 eV/atom
Space group ... P4/mmm (123)
ΔH_f (0 K) ... -0.047 eV/atom

---

This record from the Alexandria database describes a relaxed CeAgSnRh crystal. The functional is PBE-GGA.

Lattice parameters (Å, degrees): 4.904 4.904 4.904 60.00 60.00 60.00
Positions (direct):
Ce 0.000 0.000 0.000
Ag 0.250 0.250 0.250
Sn 0.500 0.500 0.500
Rh 0.750 0.750 0.750

Output
Electronic total energy ... -5.465 eV/atom
Space group ... F-43m (216)
ΔH_f (0 K) ... -0.430 eV/atom

---

This record from the Alexandria database describes a relaxed Co2ReBS crystal. The functional is PBE-GGA.

Lattice parameters (Å, degrees): 4.020 4.020 3.874 90.00 90.00 90.00
Positions (direct):
Co 0.000 0.500 0.000
Co 0.500 0.000 0.000
Re 0.000 0.000 0.500
B 0.500 0.500 0.500
S 0.500 0.500 0.000

Output
Electronic total energy ... -6.239 eV/atom
Space group ... P4/mmm (123)

---

This record from the Alexandria database describes a relaxed La3TbEr2As6 crystal. The functional is PBE-GGA.

Lattice parameters (Å, degrees): 7.347 7.347 7.335 99.61 99.61 119.99
Positions (direct):
La 0.000 0.000 0.000
La 0.334 0.666 0.000
La 0.666 0.334 0.000
Tb 0.500 0.500 0.500
Er 0.167 0.833 0.500
Er 0.833 0.167 0.500
As 0.086 0.421 0.264
As 0.243 0.243 0.735
As 0.421 0.086 0.264
As 0.579 0.914 0.736
As 0.757 0.757 0.265
As 0.914 0.579 0.736

Output
Electronic total energy ... -6.241 eV/atom
Space group ... C2/m (12)
ΔH_f (0 K) ... -1.538 eV/atom

---

This record from the Alexandria database describes a relaxed Pm2HgPd3 crystal. The functional is PBE-GGA.

Lattice parameters (Å, degrees): 9.177 8.626 6.001 75.34 65.41 39.24
Positions (direct):
Pm 0.245 0.755 0.755
Pm 0.250 0.250 0.250
Pm 0.750 0.750 0.750
Pm 0.755 0.245 0.245
Hg 0.332 0.332 0.668
Hg 0.668 0.668 0.332
Pd 0.160 0.160 0.840
Pd 0.165 0.664 0.336
Pd 0.336 0.835 0.165
Pd 0.664 0.165 0.835
Pd 0.835 0.336 0.664
Pd 0.840 0.840 0.160

Output
Electronic total energy ... -4.876 eV/atom
Space group ... Fmmm (69)
ΔH_f (0 K) ... -0.646 eV/atom

---

This record from the Alexandria database describes a relaxed LiAcUO4 crystal. The functional is PBE-GGA.

Lattice parameters (Å, degrees): 7.419 7.419 7.419 124.92 116.13 89.27
Positions (direct):
Li 0.280 0.030 0.250
Li 0.720 0.970 0.750
Ac 0.000 0.500 0.500
Ac 0.500 0.500 0.000
U 0.000 0.000 0.500
U 0.000 0.500 0.000
O 0.166 0.733 0.433
O 0.201 0.267 0.933
O 0.215 0.227 0.512
O 0.215 0.704 0.988
O 0.785 0.296 0.012
O 0.785 0.773 0.488
O 0.799 0.733 0.067
O 0.834 0.267 0.567

Output
Electronic total energy ... -8.132 eV/atom
Space group ... Imma (74)

---

This record from the Alexandria database describes a relaxed ErCuNi crystal. The functional is PBE-GGA.

Lattice parameters (Å, degrees): 4.135 4.135 3.505 90.00 90.00 120.00
Positions (direct):
Er 0.000 0.000 0.000
Cu 0.333 0.667 0.500
Ni 0.667 0.333 0.500

Output
Electronic total energy ... -5.151 eV/atom
Space group ... P-6m2 (187)
ΔH_f (0 K) ... -0.337 eV/atom

---

This record from the Alexandria database describes a relaxed CsSc6S8 crystal. The functional is PBE-GGA.

Lattice parameters (Å, degrees): 10.088 10.088 3.740 90.00 90.00 120.00
Positions (direct):
Cs 0.000 0.000 0.000
Sc 0.139 0.482 0.250
Sc 0.343 0.861 0.250
Sc 0.482 0.343 0.750
Sc 0.518 0.657 0.250
Sc 0.657 0.139 0.750
Sc 0.861 0.518 0.750
S 0.046 0.682 0.251
S 0.318 0.364 0.251
S 0.333 0.667 0.750
S 0.364 0.046 0.749
S 0.636 0.954 0.251
S 0.667 0.333 0.250
S 0.682 0.636 0.749
S 0.954 0.318 0.749

Output
Electronic total energy ... -6.640 eV/atom
Space group ... P-3 (147)

---

This record from the Alexandria database describes a relaxed CaMn2B2 crystal. The functional is PBE-GGA.

Lattice parameters (Å, degrees): 6.704 6.704 2.454 90.00 90.00 90.00
Positions (direct):
Ca 0.000 0.000 0.000
Ca 0.500 0.500 0.000
Mn 0.126 0.374 0.000
Mn 0.374 0.874 0.000
Mn 0.626 0.126 0.000
Mn 0.874 0.626 0.000
B 0.160 0.660 0.500
B 0.340 0.160 0.500
B 0.660 0.840 0.500
B 0.840 0.340 0.500

Output
Electronic total energy ... -6.411 eV/atom
Space group ... P4/mbm (127)
ΔH_f (0 K) ... 0.328 eV/atom

---

This record from the Alexandria database describes a relaxed Ce2HoTaN5 crystal. The functional is PBE-GGA.

Lattice parameters (Å, degrees): 7.154 7.154 10.562 90.00 90.00 151.70
Positions (direct):
Ce 0.111 0.889 0.500
Ce 0.142 0.858 0.083
Ce 0.858 0.142 0.583
Ce 0.889 0.111 0.000
Ho 0.220 0.780 0.804
Ho 0.780 0.220 0.304
Ta 0.478 0.522 0.272
Ta 0.522 0.478 0.772
N 0.053 0.947 0.857
N 0.280 0.720 0.472
N 0.327 0.673 0.175
N 0.383 0.617 0.826
N 0.485 0.515 0.592
N 0.515 0.485 0.092
N 0.617 0.383 0.326
N 0.673 0.327 0.675
N 0.720 0.280 0.972
N 0.947 0.053 0.357

Output
Electronic total energy ... -9.153 eV/atom
Space group ... Cmc2_1 (36)